1.
A plane-wave DFT calculation with PBE was carried out for crystalline BeAsI2O at its relaxed geometry.

Lattice parameters (Å, degrees): 6.3908 6.3908 2.9241 90.00 90.00 90.00
Atoms (fractional coordinates):
I: 0.0000 0.5000 0.0000
I: 0.5000 0.0000 0.0000
Be: 0.0000 0.0000 0.0000
As: 0.5000 0.5000 0.5000
O: 0.0000 0.0000 0.5000

- crystal system = tetragonal
- E_form (uncorrected) (eV per atom) = -0.433
- calculated volume (A^3/atom) = 23.9
- DFT total energy (hartree per atom) = -0.137
- distance to the lowest polymorph of the same formula (meV per atom) = 0.0
- M_tot (μB/cell) = 0.000



2.
A plane-wave DFT calculation with PBE was carried out for crystalline AlFeSi2 at its relaxed geometry.

Lattice parameters (Å, degrees): 7.7663 7.7663 7.7663 21.06 21.06 21.06
Atoms (fractional coordinates):
Si: 0.0101 0.0101 0.0101
Si: 0.4899 0.4899 0.4899
Fe: 0.7500 0.7500 0.7500
Al: 0.2500 0.2500 0.2500

- crystal system = trigonal
- E_form (uncorrected) (eV per atom) = -0.023
- calculated volume (A^3/atom) = 13.2
- DFT total energy (hartree per atom) = -0.213
- M_tot (μB/cell) = 0.000



3.
A plane-wave DFT calculation with PBE was carried out for crystalline PmIn4Pt2 at its relaxed geometry.

Lattice parameters (Å, degrees): 4.5354 7.3040 18.6759 90.00 90.00 90.00
Atoms (fractional coordinates):
In: 0.2500 0.2549 0.6901
In: 0.7500 0.7451 0.3099
In: 0.7500 0.7549 0.8099
In: 0.2500 0.2451 0.1901
In: 0.2500 0.6686 0.6862
In: 0.7500 0.3314 0.3138
In: 0.7500 0.1686 0.8138
In: 0.2500 0.8314 0.1862
In: 0.2500 0.1433 0.5346
In: 0.7500 0.8567 0.4654
In: 0.7500 0.6433 0.9654
In: 0.2500 0.3567 0.0346
In: 0.2500 0.4987 0.4301
In: 0.7500 0.5013 0.5699
In: 0.7500 0.9987 0.0699
In: 0.2500 0.0013 0.9301
Pt: 0.2500 0.7513 0.5420
Pt: 0.7500 0.2487 0.4580
Pt: 0.7500 0.2513 0.9580
Pt: 0.2500 0.7487 0.0420
Pt: 0.2500 0.9595 0.7821
Pt: 0.7500 0.0405 0.2179
Pt: 0.7500 0.4595 0.7179
Pt: 0.2500 0.5405 0.2821
Pm: 0.7500 0.9663 0.6419
Pm: 0.2500 0.0337 0.3581
Pm: 0.2500 0.4663 0.8581
Pm: 0.7500 0.5337 0.1419

- crystal system = orthorhombic
- calculated volume (A^3/atom) = 22.1
- DFT total energy (hartree per atom) = -0.170
- energy of formation from the pure elements (eV per atom) = -0.646
- distance to the lowest polymorph of the same formula (meV per atom) = 0.0
- M_tot (μB/cell) = 0.000



4.
A plane-wave DFT calculation with PBE was carried out for crystalline La2Al4AgHg3 at its relaxed geometry.

Lattice parameters (Å, degrees): 4.4999 4.4999 11.1650 90.00 90.00 90.00
Atoms (fractional coordinates):
La: 0.5000 0.0000 0.2532
La: 0.0000 0.5000 0.7468
Al: 0.5000 0.5000 0.0000
Al: 0.0000 0.0000 0.0000
Al: 0.5000 0.0000 0.6297
Al: 0.0000 0.5000 0.3703
Ag: 0.5000 0.5000 0.5000
Hg: 0.0000 0.0000 0.5000
Hg: 0.5000 0.0000 0.8628
Hg: 0.0000 0.5000 0.1372

- crystal system = tetragonal
- calculated volume (A^3/atom) = 22.6
- DFT total energy (hartree per atom) = -0.119
- energy of formation from the pure elements (eV per atom) = -0.382
- M_tot (μB/cell) = 0.000



5.
A plane-wave DFT calculation with PBE was carried out for crystalline Cs2GeRhI6 at its relaxed geometry.

Lattice parameters (Å, degrees): 8.1747 8.1747 8.1875 60.05 60.05 90.00
Atoms (fractional coordinates):
Cs: 0.7500 0.2500 0.5000
Cs: 0.2500 0.7500 0.5000
I: 0.2398 0.2398 0.5204
I: 0.7602 0.7602 0.4796
I: 0.2400 0.2400 0.0000
I: 0.7600 0.7600 0.0000
I: 0.7600 0.2400 0.0000
I: 0.2400 0.7600 0.0000
Ge: 0.5000 0.5000 0.0000
Rh: 0.0000 0.0000 0.0000

- crystal system = tetragonal
- E_form (uncorrected) (eV per atom) = -0.699
- calculated volume (A^3/atom) = 38.7
- DFT total energy (hartree per atom) = -0.110
- M_tot (μB/cell) = 0.000



6.
A plane-wave DFT calculation with PBE was carried out for crystalline BaEu2Sc at its relaxed geometry.

Lattice parameters (Å, degrees): 3.6717 3.6717 13.5061 82.19 82.19 60.00
Each line ends with the local moment (μB).
Atoms (fractional coordinates):
Eu: 0.0787 0.0787 0.7640  -7.01
Eu: 0.9213 0.9213 0.2360  -7.01
Sc: 0.0000 0.0000 0.0000  0.12
Ba: 0.5000 0.5000 0.5000  -0.02

- crystal system = trigonal
- calculated volume (A^3/atom) = 38.9
- DFT total energy (hartree per atom) = -0.250
- energy of formation from the pure elements (eV per atom) = 0.402
- distance to the lowest polymorph of the same formula (meV per atom) = 251.6
- M_tot (μB/cell) = 14.592



7.
A plane-wave DFT calculation with PBE was carried out for crystalline CdHg2P2 at its relaxed geometry.

Lattice parameters (Å, degrees): 3.3483 3.3483 9.8616 80.23 80.23 90.00
Atoms (fractional coordinates):
P: 0.7500 0.2500 0.5000
P: 0.2500 0.7500 0.5000
Hg: 0.3919 0.3919 0.2162
Hg: 0.6081 0.6081 0.7838
Cd: 0.0000 0.0000 0.0000

- crystal system = tetragonal
- calculated volume (A^3/atom) = 21.5
- DFT total energy (hartree per atom) = -0.082
- energy of formation from the pure elements (eV per atom) = 0.234
- distance to the lowest polymorph of the same formula (meV per atom) = 0.0
- M_tot (μB/cell) = 0.000



8.
A plane-wave DFT calculation with PBE was carried out for crystalline LaBNO2 at its relaxed geometry.

Lattice parameters (Å, degrees): 4.5267 4.5267 5.0061 90.00 90.00 90.00
Each line ends with the local moment (μB).
Atoms (fractional coordinates):
B: 0.5000 0.5000 0.5000  -0.08
N: 0.0000 0.0000 0.5000  1.34
O: 0.0000 0.5000 0.0000  0.47
O: 0.5000 0.0000 0.0000  0.47
La: 0.0000 0.0000 0.0000  0.13

- crystal system = tetragonal
- E_form (uncorrected) (eV per atom) = 0.641
- calculated volume (A^3/atom) = 20.5
- DFT total energy (hartree per atom) = -0.196
- M_tot (μB/cell) = 3.021



9.
A plane-wave DFT calculation with PBE was carried out for crystalline NbGaNi2 at its relaxed geometry.

Lattice parameters (Å, degrees): 3.7317 3.8430 3.8430 90.00 90.00 90.00
Each line ends with the local moment (μB).
Atoms (fractional coordinates):
Ni: 0.0000 0.0000 0.5000  0.32
Ni: 0.0000 0.5000 0.0000  0.32
Nb: 0.5000 0.5000 0.5000  0.17
Ga: 0.5000 0.0000 0.0000  0.03

- crystal system = tetragonal
- calculated volume (A^3/atom) = 13.8
- DFT total energy (hartree per atom) = -0.233
- energy of formation from the pure elements (eV per atom) = -0.176
- M_tot (μB/cell) = 0.835



10.
A plane-wave DFT calculation with PBE was carried out for crystalline Mn2AlCr at its relaxed geometry.

Lattice parameters (Å, degrees): 6.5555 6.5555 5.3019 51.81 51.81 90.00
Each line ends with the local moment (μB).
Atoms (fractional coordinates):
Cr: 0.0000 0.0000 0.0000  -1.54
Cr: 0.7500 0.2500 0.5000  -1.53
Mn: 0.6666 0.1250 0.2500  2.19
Mn: 0.0834 0.6250 0.2500  2.15
Mn: 0.3750 0.3334 0.7500  2.16
Mn: 0.8750 0.9166 0.7500  2.12
Al: 0.5000 0.5000 0.0000  -0.02
Al: 0.2500 0.7500 0.5000  -0.02

- crystal system = tetragonal
- calculated volume (A^3/atom) = 13.8
- DFT total energy (hartree per atom) = -0.276
- energy of formation from the pure elements (eV per atom) = 0.423
- M_tot (μB/cell) = 5.676



11.
A plane-wave DFT calculation with PBE was carried out for crystalline Ac2Si6Tc at its relaxed geometry.

Lattice parameters (Å, degrees): 5.4367 6.1632 6.1632 60.00 89.97 89.97
Atoms (fractional coordinates):
Ac: 0.8233 0.6670 0.6670
Ac: 0.1767 0.3330 0.3330
Si: 0.3306 0.3234 0.8372
Si: 0.3290 0.8376 0.8376
Si: 0.3306 0.8372 0.3234
Si: 0.6694 0.6766 0.1628
Si: 0.6710 0.1624 0.1624
Si: 0.6694 0.1628 0.6766
Tc: 0.0000 0.0000 0.0000

- crystal system = monoclinic
- E_form (uncorrected) (eV per atom) = -0.369
- calculated volume (A^3/atom) = 19.9
- DFT total energy (hartree per atom) = -0.222
- M_tot (μB/cell) = 0.000



12.
A plane-wave DFT calculation with PBE was carried out for crystalline LaPrN at its relaxed geometry.

Lattice parameters (Å, degrees): 3.6655 6.3781 6.6310 90.77 90.00 90.00
Atoms (fractional coordinates):
La: 0.7500 0.0895 0.7126
La: 0.2500 0.9105 0.2874
Pr: 0.7500 0.4158 0.2899
Pr: 0.2500 0.5842 0.7101
N: 0.7500 0.7536 0.4974
N: 0.2500 0.2464 0.5026

- crystal system = monoclinic
- E_form (uncorrected) (eV per atom) = -0.849
- calculated volume (A^3/atom) = 25.8
- DFT total energy (hartree per atom) = -0.252
- distance to the lowest polymorph of the same formula (meV per atom) = 0.0
- M_tot (μB/cell) = 0.000